# SiBH

A geometry-optimized SiBH structure (GGA-PBE, Alexandria via LeMat-Bulk).

abc: 5.8083 2.9888 5.9164
angles: 90.00 90.00 90.00
Closest atoms and distances in Å follow each position.
Element x y z (fractional)
H1 0.4379 0.2500 0.0995  2 Si 1.63-1.78
H2 0.5621 0.7500 0.9005  2 Si 1.63-1.78
H3 0.0621 0.7500 0.5995  2 Si 1.63-1.78
H4 0.9379 0.2500 0.4005  2 Si 1.63-1.78
Si1 0.8237 0.7500 0.7439  2 H 1.63-1.78
Si2 0.3237 0.7500 0.7561  2 H 1.63-1.78
Si3 0.6763 0.2500 0.2439  2 H 1.63-1.78
Si4 0.1763 0.2500 0.2561  2 H 1.63-1.78
B1 0.0857 0.7500 0.0205  2 B 1.81
B2 0.5857 0.7500 0.4795  2 B 1.81
B3 0.4143 0.2500 0.5205  2 B 1.81
B4 0.9143 0.2500 0.9795  2 B 1.81

Values from the calculation:
The value obtained for the density of states at the Fermi level is 0.105 states/eV per atom. As for the space group: Pnma (62). The polymorph energy (0 for the lowest one) is 0.196 eV/atom. The calculation puts the energy at -4.813 eV/atom.

# SiB2H6

A geometry-optimized SiB2H6 structure (GGA-PBE, Alexandria via LeMat-Bulk).

abc: 4.2574 4.2574 4.2574
angles: 60.00 60.00 60.00
Closest atoms and distances in Å follow each position.
Element x y z (fractional)
Si1 0.0000 0.0000 0.0000  6 H 1.62
B1 0.7500 0.7500 0.7500  12 H 2.13
B2 0.2500 0.2500 0.2500  12 H 2.13
H1 0.2684 0.7316 0.2684  1 Si 1.62
H2 0.7316 0.7316 0.2684  1 Si 1.62
H3 0.7316 0.2684 0.2684  1 Si 1.62
H4 0.2684 0.7316 0.7316  1 Si 1.62
H5 0.2684 0.2684 0.7316  1 Si 1.62
H6 0.7316 0.2684 0.7316  1 Si 1.62

Values from the calculation:
The value obtained for the density of states at the Fermi level is 0.050 states/eV per atom. As for the space group: Fm-3m (225). The polymorph energy (0 for the lowest one) is 1.052 eV/atom. The calculation puts the energy at -3.078 eV/atom.

# SiBH

A geometry-optimized SiBH structure (GGA-PBE, Alexandria via LeMat-Bulk).

abc: 2.6722 3.9224 5.4741
angles: 90.00 108.92 90.00
Closest atoms and distances in Å follow each position.
Element x y z (fractional)
H1 0.8241 0.0000 0.9926  1 B 1.25
H2 0.8241 0.5000 0.4926  1 B 1.25
Si1 0.1585 0.5000 0.0973  3 B 2.00-2.10, 2 H 2.15
Si2 0.1585 0.0000 0.5973  3 B 2.00-2.10, 2 H 2.15
B1 0.1076 0.5000 0.7252  1 H 1.25
B2 0.1076 0.0000 0.2252  1 H 1.25

Values from the calculation:
The value obtained for the density of states at the Fermi level is 0.210 states/eV per atom. As for the space group: Cm (8). The polymorph energy (0 for the lowest one) is 0.387 eV/atom. The calculation puts the energy at -4.623 eV/atom.

# SiBH

A geometry-optimized SiBH structure (GGA-PBE, Alexandria via LeMat-Bulk).

abc: 4.3884 2.6682 6.4401
angles: 90.00 117.02 90.00
Closest atoms and distances in Å follow each position.
Element x y z (fractional)
Si1 0.8650 0.5000 0.7942  1 H 1.88, 3 B 1.99-2.03
Si2 0.8650 0.0000 0.2942  1 H 1.88, 3 B 1.99-2.03
H1 0.3447 0.5000 0.9249  1 B 1.33
H2 0.3447 0.0000 0.4249  1 B 1.33
B1 0.6859 0.0000 0.5273  1 H 1.33
B2 0.6859 0.5000 0.0273  1 H 1.33

Values from the calculation:
The value obtained for the density of states at the Fermi level is 0.149 states/eV per atom. As for the space group: Cm (8). The polymorph energy (0 for the lowest one) is 0.294 eV/atom. The calculation puts the energy at -4.715 eV/atom.

# SiBH

A geometry-optimized SiBH structure (GGA-PBE, Alexandria via LeMat-Bulk).

abc: 3.4759 3.6816 4.4299
angles: 90.00 90.00 90.00
Closest atoms and distances in Å follow each position.
Element x y z (fractional)
H1 0.0000 0.0000 0.6671  1 B 1.24
H2 0.5000 0.5000 0.1671  1 B 1.24
Si1 0.5000 0.0000 0.1852  2 H 1.84, 2 B 2.03
Si2 0.0000 0.5000 0.6852  2 H 1.84, 2 B 2.03
B1 0.5000 0.5000 0.4467  1 H 1.24
B2 0.0000 0.0000 0.9467  1 H 1.24

Values from the calculation:
The value obtained for the density of states at the Fermi level is 0.167 states/eV per atom. As for the space group: Imm2 (44). The polymorph energy (0 for the lowest one) is 0.115 eV/atom. The calculation puts the energy at -4.894 eV/atom.

# SiB2H6

A geometry-optimized SiB2H6 structure (GGA-PBE, Alexandria via LeMat-Bulk).

abc: 3.6599 8.0284 8.0284
angles: 69.77 83.80 83.80
Closest atoms and distances in Å follow each position.
Element x y z (fractional)
Si1 0.7500 0.9338 0.0662  2 Si 2.20
Si2 0.2500 0.0662 0.9338  2 Si 2.20
H1 0.4389 0.3849 0.3808  2 B 1.32
H2 0.5611 0.6151 0.6192  2 B 1.32
H3 0.7406 0.8430 0.6743  1 B 1.18
H4 0.8047 0.7971 0.4346  1 B 1.21
H5 0.7594 0.3257 0.1570  1 B 1.18
H6 0.2594 0.1570 0.3257  1 B 1.18
H7 0.2406 0.6743 0.8430  1 B 1.18
H8 0.0611 0.6192 0.6151  2 B 1.32
H9 0.3047 0.4346 0.7971  1 B 1.21
H10 0.6953 0.5654 0.2029  1 B 1.21
H11 0.1953 0.2029 0.5654  1 B 1.21
H12 0.9389 0.3808 0.3849  2 B 1.32
B1 0.7168 0.4047 0.2587  4 H 1.18-1.32
B2 0.2168 0.2587 0.4047  4 H 1.18-1.32
B3 0.7832 0.7413 0.5953  4 H 1.18-1.32
B4 0.2832 0.5953 0.7413  4 H 1.18-1.32

Values from the calculation:
As for the space group: C2/c (15). The polymorph energy (0 for the lowest one) is 0.000 eV/atom. The calculation puts the energy at -4.130 eV/atom.